# K2CdMo | Alexandria | GGA-PBE | relaxed
# ΔE_f (eV per atom): 1.0098
# VASP energy (eV/atom): -2.4755
# Magnetization (μB/cell): 0.51
# Space group: P4/mmm, No. 123
data_K2CdMo
_symmetry_space_group_name_H-M 'P 1'
_symmetry_Int_Tables_number 1
_cell_length_a 2.9657
_cell_length_b 2.9657
_cell_length_c 12.1709
_cell_angle_alpha 90.00
_cell_angle_beta 90.00
_cell_angle_gamma 90.00
loop_
_symmetry_equiv_pos_as_xyz
'x,y,z'
loop_
_atom_site_label
_atom_site_type_symbol
_atom_site_fract_x
_atom_site_fract_y
_atom_site_fract_z
K1 K 0.0000 0.0000 0.2382
K2 K 0.0000 0.0000 0.7618
Cd1 Cd 0.5000 0.5000 0.5000
Mo1 Mo 0.5000 0.5000 0.0000